Cs2SnAuI6 PBE-GGA optimized geometry; symmetry = I4/mmm, No. 139; uncorrected formation energy = -18.33 kcal/mol of atoms
1.0
-4.240 4.240 6.040
4.240 -4.240 6.040
4.240 4.240 -6.040
Cs Sn Au I
2 1 1 6
Direct
0.250 0.750 0.500
0.750 0.250 0.500
0.000 0.000 0.000
0.500 0.500 0.000
0.252 0.252 0.000
0.254 0.254 0.508
0.254 0.746 0.000
0.746 0.254 0.000
0.746 0.746 0.492
0.748 0.748 0.000

CsNdSe2O8 PBE-GGA optimized geometry; symmetry = P-3, No. 147; uncorrected formation energy = -35.48 kcal/mol of atoms
1.0
5.680 0.000 0.000
-2.840 4.919 0.000
0.000 0.000 9.209
Cs Nd Se O
1 1 2 8
Direct
0.000 0.000 0.000
0.000 0.000 0.500
0.333 0.667 0.723
0.667 0.333 0.277
0.097 0.362 0.659
0.266 0.903 0.659
0.333 0.667 0.901
0.362 0.266 0.341
0.638 0.734 0.659
0.667 0.333 0.099
0.734 0.097 0.341
0.903 0.638 0.341

MgMn2P PBE-GGA optimized geometry; ΔH_f (0 K) = 0.10 eV per atom; symmetry = F-43m, No. 216
1.0
0.000 2.943 2.943
2.943 0.000 2.943
2.943 2.943 0.000
Mg Mn P
1 2 1
Direct
0.000 0.000 0.000
0.500 0.500 0.500
0.750 0.750 0.750
0.250 0.250 0.250

ReAg4Rh2 PBE-GGA optimized geometry; ΔH_f (0 K) = 1.57 eV per atom; symmetry = I4/mmm, No. 139
1.0
-2.483 2.483 6.603
2.483 -2.483 6.603
2.483 2.483 -6.603
Re Ag Rh
1 4 2
Direct
0.000 0.000 0.000
0.000 0.500 0.500
0.201 0.201 0.000
0.500 0.000 0.500
0.799 0.799 0.000
0.402 0.402 0.000
0.598 0.598 0.000